1.
Computed, not measured: a relaxed Y2TaAu crystal at the PBE level of DFT.

Cell lengths 3.3221, 3.3221, 8.8224 Å; angles 90.00, 90.00, 89.98 degrees
Sites, in units of the cell vectors:
Au1 0.0000 0.0000 0.5347
Y1 0.5000 0.5000 0.2951
Y2 0.0000 0.0000 0.9542
Ta1 0.5000 0.5000 0.7160

Space-group type: P4mm, No. 99
Energy above the lowest structure with this stoichiometry, eV/f.u.: 0.466
Calculated density, g/cm3: 9.5
ΔH_f (0 K), eV per atom: -0.047
VASP energy, eV for the cell shown: -28.248

---

2.
Computed, not measured: a relaxed LaPrHoMg crystal at the PBE level of DFT.

Cell lengths 5.6618, 5.6618, 5.6618 Å; angles 60.00, 60.00, 60.00 degrees
Sites, in units of the cell vectors:
Mg1 0.0000 0.0000 0.0000
La1 0.2500 0.2500 0.2500
Pr1 0.7500 0.7500 0.7500
Ho1 0.5000 0.5000 0.5000

Space-group type: F-43m, No. 216
Energy above the lowest structure with this stoichiometry, eV/f.u.: 0.149
Calculated density, g/cm3: 6.1
ΔH_f (0 K), eV per atom: 0.007
VASP energy, eV for the cell shown: -15.850

---

3.
Computed, not measured: a relaxed Sr2PtPb crystal at the PBE level of DFT.

Cell lengths 3.7462, 3.6145, 9.5060 Å; angles 67.50, 90.00, 90.00 degrees
Sites, in units of the cell vectors:
Sr1 0.0000 0.4587 0.5412
Sr2 0.0000 0.0413 0.9588
Pt1 0.5000 0.7500 0.7500
Pb1 0.5000 0.2500 0.2500

Space-group type: P2/m, No. 10
Calculated density, g/cm3: 8.1
ΔH_f (0 K), eV per atom: -0.640
VASP energy, eV for the cell shown: -15.675

---

4.
Computed, not measured: a relaxed RbFeNiSe3 crystal at the PBE level of DFT.

Cell lengths 3.6576, 8.9180, 9.7275 Å; angles 104.95, 90.00, 90.00 degrees
Last column: magnetic moment on the atom in μB.
Sites, in units of the cell vectors:
Se1 0.2500 0.1829 0.8267  0.00
Se2 0.2500 0.8131 0.4892  -0.01
Se3 0.2500 0.5362 0.8627  -0.01
Se4 0.7500 0.4638 0.1373  -0.01
Se5 0.7500 0.8171 0.1733  0.00
Se6 0.7500 0.1869 0.5108  -0.01
Fe1 0.7500 0.9259 0.4150  0.34
Fe2 0.2500 0.0741 0.5850  0.34
Ni1 0.7500 0.3718 0.8786  -0.05
Ni2 0.2500 0.6282 0.1214  -0.05
Rb1 0.2500 0.1689 0.1981  0.00
Rb2 0.7500 0.8311 0.8019  0.00

Space-group type: P2_1/m, No. 11
Calculated density, g/cm3: 4.7
VASP energy, eV for the cell shown: -56.521

---

5.
Computed, not measured: a relaxed EuHoAgPb crystal at the PBE level of DFT.

Cell lengths 5.3898, 5.3898, 5.3898 Å; angles 60.00, 60.00, 60.00 degrees
Last column: magnetic moment on the atom in μB.
Sites, in units of the cell vectors:
Eu1 0.7500 0.7500 0.7500  6.86
Ho1 0.2500 0.2500 0.2500  0.08
Pb1 0.5000 0.5000 0.5000  -0.02
Ag1 0.0000 0.0000 0.0000  0.01

Space-group type: F-43m, No. 216
Calculated density, g/cm3: 9.5
ΔH_f (0 K), eV per atom: -0.420
VASP energy, eV for the cell shown: -23.092

---

6.
Computed, not measured: a relaxed AcPm2Ga2Pt7 crystal at the PBE level of DFT.

Cell lengths 4.1760, 4.1760, 14.3752 Å; angles 83.51, 83.51, 89.14 degrees
Sites, in units of the cell vectors:
Pm1 0.8802 0.8802 0.3610
Pm2 0.1198 0.1198 0.6390
Pt1 0.5000 0.5000 0.0000
Pt2 0.3687 0.3687 0.4325
Pt3 0.4374 0.9365 0.1647
Pt4 0.9365 0.4374 0.1647
Pt5 0.0635 0.5626 0.8353
Pt6 0.6313 0.6313 0.5675
Pt7 0.5626 0.0635 0.8353
Ac1 0.0000 0.0000 0.0000
Ga1 0.3996 0.3996 0.2610
Ga2 0.6004 0.6004 0.7390

Space-group type: C2/m, No. 12
Calculated density, g/cm3: 13.6
ΔH_f (0 K), eV per atom: -0.879
VASP energy, eV for the cell shown: -72.496